No. 1
VASP calculation (PBE) on crystalline YTlCuW at its relaxed geometry.

Summary:
Crystal system   cubic
Total moment   0.42 μB per atom
Energy above the lowest structure with this stoichiometry   0 meV per atom
Symmetry   F-43m

a b c (Å): 4.8738 4.8738 4.8738
angles (deg): 60.00 60.00 60.00
Atoms (fractional coordinates):
Cu1 0.7500 0.7500 0.7500
Tl1 0.0000 0.0000 0.0000
W1 0.2500 0.2500 0.2500
Y1 0.5000 0.5000 0.5000



No. 2
VASP calculation (PBE) on crystalline YTlCuW at its relaxed geometry.

Summary:
Crystal system   cubic
Total moment   0.53 μB per atom
Energy above the lowest structure with this stoichiometry   98 meV per atom
Symmetry   F-43m

a b c (Å): 4.8783 4.8783 4.8783
angles (deg): 60.00 60.00 60.00
Atoms (fractional coordinates):
Cu1 0.7500 0.7500 0.7500
Tl1 0.0000 0.0000 0.0000
W1 0.5000 0.5000 0.5000
Y1 0.2500 0.2500 0.2500



No. 3
VASP calculation (PBE) on crystalline TlZnCuW at its relaxed geometry.

Summary:
Crystal system   cubic
Total moment   0.46 μB per atom
Energy above the lowest structure with this stoichiometry   0 meV per atom
Symmetry   F-43m

a b c (Å): 4.5841 4.5841 4.5841
angles (deg): 60.00 60.00 60.00
Atoms (fractional coordinates):
Cu1 0.7500 0.7500 0.7500
Tl1 0.0000 0.0000 0.0000
W1 0.2500 0.2500 0.2500
Zn1 0.5000 0.5000 0.5000



No. 4
VASP calculation (PBE) on crystalline TlZnCuW at its relaxed geometry.

Summary:
Crystal system   cubic
Total moment   0.48 μB per atom
Energy above the lowest structure with this stoichiometry   6 meV per atom
Symmetry   F-43m

a b c (Å): 4.5378 4.5378 4.5378
angles (deg): 60.00 60.00 60.00
Atoms (fractional coordinates):
Cu1 0.7500 0.7500 0.7500
Tl1 0.0000 0.0000 0.0000
W1 0.5000 0.5000 0.5000
Zn1 0.2500 0.2500 0.2500



No. 5
VASP calculation (PBE) on crystalline YTl2Cu at its relaxed geometry.

Summary:
Crystal system   cubic
Total moment   0.00 μB per atom
Symmetry   F-43m

a b c (Å): 5.1239 5.1239 5.1239
angles (deg): 60.00 60.00 60.00
Atoms (fractional coordinates):
Cu1 0.2500 0.2500 0.2500
Tl1 0.5000 0.5000 0.5000
Tl2 0.7500 0.7500 0.7500
Y1 0.0000 0.0000 0.0000



No. 6
VASP calculation (PBE) on crystalline YTlCu at its relaxed geometry.

Summary:
Crystal system   cubic
Total moment   0.00 μB per atom
Symmetry   F-43m

a b c (Å): 4.6483 4.6483 4.6483
angles (deg): 60.00 60.00 60.00
Atoms (fractional coordinates):
Cu1 0.0000 0.0000 0.0000
Tl1 0.2500 0.2500 0.2500
Y1 0.7500 0.7500 0.7500



No. 7
VASP calculation (PBE) on crystalline ZrTlZnCu at its relaxed geometry.

Summary:
Crystal system   cubic
Total moment   0.00 μB per atom
Energy above the lowest structure with this stoichiometry   50 meV per atom
Symmetry   F-43m

a b c (Å): 4.7152 4.7152 4.7152
angles (deg): 60.00 60.00 60.00
Atoms (fractional coordinates):
Cu1 0.7500 0.7500 0.7500
Tl1 0.0000 0.0000 0.0000
Zn1 0.5000 0.5000 0.5000
Zr1 0.2500 0.2500 0.2500



No. 8
VASP calculation (PBE) on crystalline ZrTlZnCu at its relaxed geometry.

Summary:
Crystal system   cubic
Total moment   0.00 μB per atom
Energy above the lowest structure with this stoichiometry   0 meV per atom
Symmetry   F-43m

a b c (Å): 4.6768 4.6768 4.6768
angles (deg): 60.00 60.00 60.00
Atoms (fractional coordinates):
Cu1 0.7500 0.7500 0.7500
Tl1 0.0000 0.0000 0.0000
Zn1 0.2500 0.2500 0.2500
Zr1 0.5000 0.5000 0.5000



No. 9
VASP calculation (PBE) on crystalline Tm3Cu2 at its relaxed geometry.

Summary:
Crystal system   monoclinic
Total moment   0.00 μB per atom
ΔH_f (0 K)   -210 meV/atom
Symmetry   C2/m

a b c (Å): 6.8765 6.8765 9.5696
angles (deg): 104.13 104.13 30.58
Atoms (fractional coordinates):
Cu1 0.5395 0.5395 0.1429
Cu2 0.7448 0.7448 0.2252
Cu3 0.2552 0.2552 0.7748
Cu4 0.4605 0.4605 0.8571
Tm1 0.8660 0.8660 0.0105
Tm2 0.4127 0.4127 0.3394
Tm3 0.1504 0.1504 0.3801
Tm4 0.8496 0.8496 0.6199
Tm5 0.5873 0.5873 0.6606
Tm6 0.1340 0.1340 0.9895



No. 10
VASP calculation (PBE) on crystalline Tm8Cu at its relaxed geometry.

Summary:
Crystal system   hexagonal
Total moment   0.00 μB per atom
ΔH_f (0 K)   -50 meV/atom
Symmetry   P-62m

a b c (Å): 9.0086 9.0086 3.5424
angles (deg): 90.00 90.00 120.00
Atoms (fractional coordinates):
Cu1 0.0000 0.0000 0.0000
Tm1 0.6105 0.0000 0.0000
Tm2 0.3895 0.3895 0.0000
Tm3 0.0000 0.6105 0.0000
Tm4 0.2499 0.0000 0.5000
Tm5 0.0000 0.2499 0.5000
Tm6 0.6667 0.3333 0.5000
Tm7 0.3333 0.6667 0.5000
Tm8 0.7501 0.7501 0.5000



No. 11
VASP calculation (PBE) on crystalline TmCu at its relaxed geometry.

Summary:
Crystal system   cubic
Total moment   0.00 μB per atom
ΔH_f (0 K)   519 meV/atom
Symmetry   F-43m

a b c (Å): 4.3287 4.3287 4.3287
angles (deg): 60.00 60.00 60.00
Atoms (fractional coordinates):
Cu1 0.0000 0.0000 0.0000
Tm1 0.2500 0.2500 0.2500



No. 12
VASP calculation (PBE) on crystalline TmCu at its relaxed geometry.

Summary:
Crystal system   cubic
Total moment   0.00 μB per atom
ΔH_f (0 K)   -290 meV/atom
Symmetry   Pm-3m

a b c (Å): 3.4162 3.4162 3.4162
angles (deg): 90.00 90.00 90.00
Atoms (fractional coordinates):
Cu1 0.0000 0.0000 0.0000
Tm1 0.5000 0.5000 0.5000



Listing final energy for the structures above in their given order: -22.5, -22.1, -16.8, -16.8, -14.9, -13.2, -15.4, -15.6, -43.8, -40.0, -7.2, -8.8 eV per cell.